[1]
FeCoSi3 | meta-GGA SCAN | single point on PBEsol structure Values from VASP.

Geometry as Quantum ESPRESSO input:
```
&SYSTEM
  ibrav = 0, nat = 5, ntyp = 3
/
ATOMIC_SPECIES
Si 28.09 Si.upf
Co 58.93 Co.upf
Fe 55.84 Fe.upf
CELL_PARAMETERS angstrom
-1.8174 3.4561 -1.6407
0.7846 -1.4411 -3.9047
-3.7444 -1.9794 -0.0219
ATOMIC_POSITIONS crystal
Si 0.5000 0.0000 0.0000
Co 0.0000 0.0000 0.0000
Si 0.0000 0.0000 0.5000
Si 0.0000 0.5000 0.0000
Fe 0.5000 0.5000 0.5000
```

Summary:
raw formation energy: 750 meV per atom
density: 4.3 g/cm³
total magnetization: 2.772 Bohr magnetons per cell

=====

[2]
LiCd2Pt | meta-GGA SCAN | single point on PBEsol structure Values from VASP.

Geometry as Quantum ESPRESSO input:
```
&SYSTEM
  ibrav = 0, nat = 4, ntyp = 3
/
ATOMIC_SPECIES
Cd 112.41 Cd.upf
Pt 195.08 Pt.upf
Li 6.94 Li.upf
CELL_PARAMETERS angstrom
-1.1468 0.9732 -2.4875
-2.1896 -3.2855 -0.2759
-4.2964 2.6112 3.0024
ATOMIC_POSITIONS crystal
Cd 0.0000 0.0000 0.7487
Pt 0.5000 0.5000 0.5000
Cd 0.0000 0.0000 0.2513
Li 0.5000 0.5000 0.0000
```

Summary:
formation enthalpy at 0 K: -0.389 eV per atom
density: 10.5 g/cm³
distance to the lowest polymorph of the same formula: 0.100 eV per atom
total magnetization: 0.000 Bohr magnetons per cell

=====

[3]
BeCr2Os | meta-GGA SCAN | single point on PBEsol structure Values from VASP.

Geometry as Quantum ESPRESSO input:
```
&SYSTEM
  ibrav = 0, nat = 4, ntyp = 3
/
ATOMIC_SPECIES
Be 9.01 Be.upf
Cr 52.00 Cr.upf
Os 190.23 Os.upf
CELL_PARAMETERS angstrom
-1.3631 2.2315 -0.4437
-2.2547 -1.2558 0.6110
0.7346 1.6702 6.1432
ATOMIC_POSITIONS crystal
Be 0.5000 0.5000 0.5000
Cr 0.0000 0.0000 0.2743
Cr 0.0000 0.0000 0.7257
Os 0.5000 0.5000 0.0000
```

Summary:
formation enthalpy at 0 K: 0.139 eV per atom
density: 11.2 g/cm³
total magnetization: 0.000 Bohr magnetons per cell

=====

[4]
ZnBP3 | meta-GGA SCAN | single point on PBEsol structure Values from VASP.

Geometry as Quantum ESPRESSO input:
```
&SYSTEM
  ibrav = 0, nat = 5, ntyp = 3
/
ATOMIC_SPECIES
P 30.97 P.upf
Zn 65.41 Zn.upf
B 10.81 B.upf
CELL_PARAMETERS angstrom
4.5262 0.0000 0.0000
0.0000 4.5262 0.0000
0.0000 0.0000 4.5262
ATOMIC_POSITIONS crystal
P 0.0000 0.5000 0.0000
Zn 0.0000 0.0000 0.0000
B 0.5000 0.5000 0.5000
P 0.0000 0.0000 0.5000
P 0.5000 0.0000 0.0000
```

Summary:
formation enthalpy at 0 K: 1.918 eV per atom
density: 3.0 g/cm³
total magnetization: 0.000 Bohr magnetons per cell

=====

[5]
NaNd3Ti3MnO12 | meta-GGA SCAN | single point on PBEsol structure Values from VASP.

Geometry as Quantum ESPRESSO input:
```
&SYSTEM
  ibrav = 0, nat = 20, ntyp = 5
/
ATOMIC_SPECIES
Na 22.99 Na.upf
O 16.00 O.upf
Nd 144.24 Nd.upf
Ti 47.87 Ti.upf
Mn 54.94 Mn.upf
CELL_PARAMETERS angstrom
-4.1389 0.8794 -3.3817
-0.0012 -5.3990 -1.3219
-4.9910 -1.3778 5.7204
ATOMIC_POSITIONS crystal
Na 0.4937 0.4722 0.2471
O 0.9220 0.5213 0.2580
Nd 0.5129 0.5493 0.7575
O 0.7815 0.7987 0.9537
O 0.7086 0.2799 0.9458
Ti 0.0022 0.4964 0.4920
O 0.7828 0.7867 0.5441
Ti 0.5000 0.0073 0.0084
Ti 0.4975 0.0046 0.4971
Nd 0.0132 0.9443 0.2444
O 0.7164 0.2807 0.5544
O 0.2809 0.7219 0.4612
O 0.2029 0.2018 0.4634
O 0.0873 0.4821 0.7436
O 0.5821 0.0251 0.2531
Nd 0.9910 0.0484 0.7535
O 0.2006 0.1841 0.0309
O 0.2969 0.7170 0.0399
Mn 0.0053 0.4972 0.0054
O 0.4221 0.9810 0.7464
```

Summary:
raw formation energy: -3321 meV per atom
density: 6.0 g/cm³
total magnetization: 4.883 Bohr magnetons per cell

=====

[6]
Co3TeP | meta-GGA SCAN | single point on PBEsol structure Values from VASP.

Geometry as Quantum ESPRESSO input:
```
&SYSTEM
  ibrav = 0, nat = 5, ntyp = 3
/
ATOMIC_SPECIES
Te 127.60 Te.upf
P 30.97 P.upf
Co 58.93 Co.upf
CELL_PARAMETERS angstrom
-0.9218 -3.8925 2.0999
0.2039 -2.1801 -3.9517
4.4181 -0.7115 0.6205
ATOMIC_POSITIONS crystal
Te 0.0000 0.0000 0.0000
P 0.5000 0.5000 0.5000
Co 0.0000 0.0000 0.5000
Co 0.5000 0.0000 0.0000
Co 0.0000 0.5000 0.0000
```

Summary:
raw formation energy: 1438 meV per atom
density: 6.0 g/cm³
total magnetization: 4.007 Bohr magnetons per cell

=====

[7]
LiSc2Br | meta-GGA SCAN | single point on PBEsol structure Values from VASP.

Geometry as Quantum ESPRESSO input:
```
&SYSTEM
  ibrav = 0, nat = 4, ntyp = 3
/
ATOMIC_SPECIES
Br 79.90 Br.upf
Li 6.94 Li.upf
Sc 44.96 Sc.upf
CELL_PARAMETERS angstrom
-3.6742 0.7452 -1.3145
0.6770 -2.2781 -3.1836
-0.2620 -3.3627 4.8295
ATOMIC_POSITIONS crystal
Br 0.5000 0.5000 0.0000
Li 0.2500 0.7500 0.5000
Sc 0.7500 0.2500 0.5000
Sc 0.0000 0.0000 0.0000
```

Summary:
raw formation energy: -82 meV per atom
density: 3.6 g/cm³
total magnetization: 0.000 Bohr magnetons per cell

=====

[8]
La2Pb2Cl | meta-GGA SCAN | single point on PBEsol structure Values from VASP.

Geometry as Quantum ESPRESSO input:
```
&SYSTEM
  ibrav = 0, nat = 10, ntyp = 3
/
ATOMIC_SPECIES
La 138.91 La.upf
Cl 35.45 Cl.upf
Pb 207.20 Pb.upf
CELL_PARAMETERS angstrom
4.7880 0.0000 0.0000
0.0000 7.9931 0.0000
0.0000 0.0000 7.9931
ATOMIC_POSITIONS crystal
La 0.0000 0.8249 0.6751
Cl 0.0000 0.5000 0.5000
La 0.0000 0.3249 0.8249
La 0.0000 0.1751 0.3249
Pb 0.5000 0.8690 0.3690
Pb 0.5000 0.1310 0.6310
Pb 0.5000 0.3690 0.1310
Cl 0.0000 0.0000 0.0000
Pb 0.5000 0.6310 0.8690
La 0.0000 0.6751 0.1751
```

Summary:
raw formation energy: -1264 meV per atom
density: 7.9 g/cm³
total magnetization: 0.000 Bohr magnetons per cell